The following is a DFT calculation (PBE-GGA) of crystalline TmTh3Sc6 at its relaxed geometry.

Lattice parameters (Å, degrees): 5.9881 6.4230 7.9909 76.19 68.27 89.87
Last column: nearest neighbours and their distance in Å.
Sites, in units of the cell vectors:
Tm: 0.0000 0.0000 0.0000  7 Sc 3.34-3.48, 5 Th 3.37-3.50
Th: 0.3932 0.7938 0.2071  8 Sc 3.32-3.45, 2 Th 3.39-3.47, 2 Tm 3.44-3.50
Th: 0.4200 0.6905 0.7931  8 Sc 3.34-3.48, 1 Tm 3.39, 3 Th 3.41-3.47
Th: 0.8239 0.5005 0.9880  7 Sc 3.37-3.52, 2 Tm 3.37-3.41, 3 Th 3.39-3.41
Sc: 0.0205 0.9046 0.5958  7 Sc 3.26-3.49, 4 Th 3.32-3.48, 1 Tm 3.39
Sc: 0.1978 0.3878 0.5892  8 Sc 3.23-3.49, 3 Th 3.33-3.39, 1 Tm 3.41
Sc: 0.2243 0.2971 0.2025  6 Sc 3.23-3.45, 1 Tm 3.34, 5 Th 3.36-3.52
Sc: 0.5957 0.1892 0.7921  6 Sc 3.23-3.46, 4 Th 3.37-3.45, 2 Tm 3.41-3.48
Sc: 0.6285 0.1013 0.4028  8 Sc 3.23-3.49, 1 Tm 3.38, 3 Th 3.38-3.47
Sc: 0.8012 0.5882 0.4004  7 Sc 3.29-3.47, 4 Th 3.34-3.45, 1 Tm 3.44

Properties
The calculated formation energy comes out at 0.048 eV per atom. The density of states at the Fermi level comes out at 17.0 states/eV/f.u. The magnetic moment is 0.00 μB per formula unit. The energy is -6.424 eV per atom. For the distance to the lowest polymorph of the same formula, the calculation gives 0 meV per atom.

---

The following is a DFT calculation (PBE-GGA) of crystalline Tm2ThSc3 at its relaxed geometry.

Lattice parameters (Å, degrees): 5.9199 5.9199 11.0567 95.12 95.12 119.94
Last column: nearest neighbours and their distance in Å.
Sites, in units of the cell vectors:
Tm: 0.0000 0.0000 0.0000  6 Sc 3.36, 6 Th 3.42
Tm: 0.1660 0.8340 0.5000  6 Sc 3.36-3.39, 6 Tm 3.40-3.43
Tm: 0.5000 0.5000 0.5000  6 Sc 3.36-3.38, 6 Tm 3.42
Tm: 0.8340 0.1660 0.5000  6 Sc 3.36-3.39, 6 Tm 3.40-3.43
Th: 0.3332 0.6668 0.0000  6 Sc 3.33-3.34, 3 Tm 3.42, 3 Th 3.42
Th: 0.6668 0.3332 0.0000  6 Sc 3.33-3.34, 3 Tm 3.42, 3 Th 3.42
Sc: 0.0833 0.4212 0.2481  2 Th 3.33-3.34, 4 Tm 3.36-3.39, 6 Sc 3.39-3.47
Sc: 0.2549 0.2549 0.7520  2 Th 3.34, 4 Tm 3.36-3.38, 6 Sc 3.39-3.47
Sc: 0.4212 0.0833 0.2481  2 Th 3.33-3.34, 4 Tm 3.36-3.39, 6 Sc 3.39-3.47
Sc: 0.5788 0.9167 0.7519  2 Th 3.33-3.34, 4 Tm 3.36-3.39, 6 Sc 3.39-3.47
Sc: 0.7451 0.7451 0.2480  2 Th 3.34, 4 Tm 3.36-3.38, 6 Sc 3.39-3.47
Sc: 0.9167 0.5788 0.7519  2 Th 3.33-3.34, 4 Tm 3.36-3.39, 6 Sc 3.39-3.47

Properties
The calculated formation energy comes out at 0.044 eV per atom. The density of states at the Fermi level comes out at 8.6 states/eV/f.u. The magnetic moment is 0.00 μB per formula unit. The energy is -5.849 eV per atom. For the distance to the lowest polymorph of the same formula, the calculation gives 0 meV per atom.

---

The following is a DFT calculation (PBE-GGA) of crystalline Tm12ThSc3 at its relaxed geometry.

Lattice parameters (Å, degrees): 4.8892 4.8892 19.5100 90.00 90.00 90.00
Last column: nearest neighbours and their distance in Å.
Sites, in units of the cell vectors:
Tm: 0.0000 0.0000 0.0000  8 Tm 3.44, 4 Sc 3.46
Tm: 0.0000 0.0000 0.2454  8 Tm 3.41-3.47, 4 Sc 3.46
Tm: 0.0000 0.0000 0.5000  4 Th 3.46, 8 Tm 3.50
Tm: 0.0000 0.0000 0.7546  8 Tm 3.41-3.47, 4 Sc 3.46
Tm: 0.0000 0.5000 0.1237  8 Tm 3.41-3.46, 4 Sc 3.44
Tm: 0.0000 0.5000 0.3718  2 Sc 3.44, 8 Tm 3.46-3.50, 2 Th 3.50
Tm: 0.0000 0.5000 0.6282  2 Sc 3.44, 8 Tm 3.46-3.50, 2 Th 3.50
Tm: 0.0000 0.5000 0.8763  8 Tm 3.41-3.46, 4 Sc 3.44
Tm: 0.5000 0.0000 0.1237  8 Tm 3.41-3.46, 4 Sc 3.44
Tm: 0.5000 0.0000 0.3718  2 Sc 3.44, 8 Tm 3.46-3.50, 2 Th 3.50
Tm: 0.5000 0.0000 0.6282  2 Sc 3.44, 8 Tm 3.46-3.50, 2 Th 3.50
Tm: 0.5000 0.0000 0.8763  8 Tm 3.41-3.46, 4 Sc 3.44
Th: 0.5000 0.5000 0.5000  12 Tm 3.46-3.50
Sc: 0.5000 0.5000 0.0000  12 Tm 3.44-3.46
Sc: 0.5000 0.5000 0.2475  12 Tm 3.44-3.46
Sc: 0.5000 0.5000 0.7525  12 Tm 3.44-3.46

Properties
The calculated formation energy comes out at 0.045 eV per atom. The density of states at the Fermi level comes out at 26.7 states/eV/f.u. The magnetic moment is 0.00 μB per formula unit. The energy is -4.959 eV per atom.

---

The following is a DFT calculation (PBE-GGA) of crystalline Tm2ThSc6 at its relaxed geometry.

Lattice parameters (Å, degrees): 9.1467 9.1467 3.2893 90.00 90.00 120.00
Last column: nearest neighbours and their distance in Å.
Sites, in units of the cell vectors:
Tm: 0.3333 0.6667 0.0000  2 Tm 3.29, 12 Sc 3.46
Tm: 0.6667 0.3333 0.0000  2 Tm 3.29, 12 Sc 3.46
Th: 0.0000 0.0000 0.0000  2 Th 3.29, 12 Sc 3.47
Sc: 0.0000 0.3341 0.5000  5 Sc 3.03-3.29
Sc: 0.0000 0.6659 0.5000  5 Sc 3.03-3.29
Sc: 0.3341 0.0000 0.5000  5 Sc 3.03-3.29
Sc: 0.3341 0.3341 0.5000  5 Sc 3.03-3.29
Sc: 0.6659 0.0000 0.5000  5 Sc 3.03-3.29
Sc: 0.6659 0.6659 0.5000  5 Sc 3.03-3.29

Properties
The calculated formation energy comes out at 0.042 eV per atom. The density of states at the Fermi level comes out at 16.7 states/eV/f.u. The magnetic moment is 0.00 μB per formula unit. The energy is -5.997 eV per atom. For the distance to the lowest polymorph of the same formula, the calculation gives 0 meV per atom.

---

The following is a DFT calculation (PBE-GGA) of crystalline TmThSc2 at its relaxed geometry.

Lattice parameters (Å, degrees): 3.8795 3.8795 7.3688 90.00 90.00 90.00
Last column: nearest neighbours and their distance in Å.
Sites, in units of the cell vectors:
Tm: 0.0000 0.0000 0.0000  8 Sc 3.32, 2 Th 3.68
Th: 0.0000 0.0000 0.5000  8 Sc 3.29
Sc: 0.5000 0.5000 0.2537  4 Th 3.29, 4 Tm 3.32, 1 Sc 3.63
Sc: 0.5000 0.5000 0.7463  4 Th 3.29, 4 Tm 3.32, 1 Sc 3.63

Properties
The calculated formation energy comes out at 0.060 eV per atom. The density of states at the Fermi level comes out at 6.9 states/eV/f.u. The magnetic moment is 0.00 μB per formula unit. The energy is -6.078 eV per atom. For the distance to the lowest polymorph of the same formula, the calculation gives 52 meV per atom.

---

The following is a DFT calculation (PBE-GGA) of crystalline Tm12ThSc6 at its relaxed geometry.

Lattice parameters (Å, degrees): 8.7893 8.7893 8.7893 106.79 106.79 106.79
Last column: nearest neighbours and their distance in Å.
Sites, in units of the cell vectors:
Tm: 0.1306 0.8239 0.2840  5 Sc 3.19-3.54, 3 Tm 3.24-3.39, 1 Th 3.40
Tm: 0.1761 0.7160 0.8694  5 Sc 3.19-3.54, 3 Tm 3.24-3.39, 1 Th 3.40
Tm: 0.1922 0.5754 0.4837  3 Sc 3.19-3.42, 6 Tm 3.24-3.39
Tm: 0.2840 0.1306 0.8239  5 Sc 3.19-3.54, 3 Tm 3.24-3.39, 1 Th 3.40
Tm: 0.4246 0.5163 0.8078  3 Sc 3.19-3.42, 6 Tm 3.24-3.39
Tm: 0.4837 0.1922 0.5754  3 Sc 3.19-3.42, 6 Tm 3.24-3.39
Tm: 0.5163 0.8078 0.4246  3 Sc 3.19-3.42, 6 Tm 3.24-3.39
Tm: 0.5754 0.4837 0.1922  3 Sc 3.19-3.42, 6 Tm 3.24-3.39
Tm: 0.7160 0.8694 0.1761  5 Sc 3.19-3.54, 3 Tm 3.24-3.39, 1 Th 3.40
Tm: 0.8078 0.4246 0.5163  3 Sc 3.19-3.42, 6 Tm 3.24-3.39
Tm: 0.8239 0.2840 0.1306  5 Sc 3.19-3.54, 3 Tm 3.24-3.39, 1 Th 3.40
Tm: 0.8694 0.1761 0.7160  5 Sc 3.19-3.54, 3 Tm 3.24-3.39, 1 Th 3.40
Th: 0.0000 0.0000 0.0000  6 Tm 3.40, 6 Sc 3.59
Sc: 0.0770 0.1843 0.4506  8 Tm 3.19-3.54
Sc: 0.1843 0.4506 0.0770  8 Tm 3.19-3.54
Sc: 0.4506 0.0770 0.1843  8 Tm 3.19-3.54
Sc: 0.5494 0.9230 0.8157  8 Tm 3.19-3.54
Sc: 0.8157 0.5494 0.9230  8 Tm 3.19-3.54
Sc: 0.9230 0.8157 0.5494  8 Tm 3.19-3.54

Properties
The calculated formation energy comes out at 0.268 eV per atom. The density of states at the Fermi level comes out at 32.0 states/eV/f.u. The magnetic moment is 0.00 μB per formula unit. The energy is -4.946 eV per atom.